1.
# PBE-GGA SrNd4Pb5, relaxed
data_SrNd4Pb5
_cell_length_a 4.2005
_cell_length_b 4.2005
_cell_length_c 17.8795
_cell_angle_alpha 90.00
_cell_angle_beta 90.00
_cell_angle_gamma 90.00
_symmetry_space_group_name_H-M 'P 1'
_symmetry_Int_Tables_number 1
_symmetry_space_group_name_Hall 'P 1'
loop_
_atom_site_label
_atom_site_type_symbol
_atom_site_fract_x
_atom_site_fract_y
_atom_site_fract_z
Sr1 Sr 0.0000 0.0000 0.0000
Nd1 Nd 0.0000 0.0000 0.2113
Nd2 Nd 0.0000 0.0000 0.4033
Nd3 Nd 0.0000 0.0000 0.5967
Nd4 Nd 0.0000 0.0000 0.7887
Pb1 Pb 0.5000 0.5000 0.1154
Pb2 Pb 0.5000 0.5000 0.3068
Pb3 Pb 0.5000 0.5000 0.5000
Pb4 Pb 0.5000 0.5000 0.6932
Pb5 Pb 0.5000 0.5000 0.8846
# ΔH_f (0 K) = -0.489 eV per atom
# crystal system = tetragonal
# space group = No. 123
# V = 31.55 A^3/atom

---

2.
# PBE-GGA SrNd2Pb, relaxed
data_SrNd2Pb
_cell_length_a 3.7062
_cell_length_b 3.7062
_cell_length_c 12.7086
_cell_angle_alpha 81.62
_cell_angle_beta 81.62
_cell_angle_gamma 60.00
_symmetry_space_group_name_H-M 'P 1'
_symmetry_Int_Tables_number 1
_symmetry_space_group_name_Hall 'P 1'
loop_
_atom_site_label
_atom_site_type_symbol
_atom_site_fract_x
_atom_site_fract_y
_atom_site_fract_z
Pb1 Pb 0.5000 0.5000 0.5000
Sr1 Sr 0.0000 0.0000 0.0000
Nd1 Nd 0.0961 0.0961 0.7117
Nd2 Nd 0.9039 0.9039 0.2883
# ΔH_f (0 K) = 0.047 eV per atom
# crystal system = trigonal
# space group = No. 166
# V = 37.25 A^3/atom
# energy relative to the lowest polymorph listed for this composition = 278 meV per atom

---

3.
# PBE-GGA SrNdPb2, relaxed
data_SrNdPb2
_cell_length_a 4.5384
_cell_length_b 6.5418
_cell_length_c 9.1483
_cell_angle_alpha 90.00
_cell_angle_beta 90.00
_cell_angle_gamma 90.00
_symmetry_space_group_name_H-M 'P 1'
_symmetry_Int_Tables_number 1
_symmetry_space_group_name_Hall 'P 1'
loop_
_atom_site_label
_atom_site_type_symbol
_atom_site_fract_x
_atom_site_fract_y
_atom_site_fract_z
Sr1 Sr 0.5000 0.3793 0.3131
Sr2 Sr 0.5000 0.6207 0.8131
Nd1 Nd 0.0000 0.1316 0.6882
Nd2 Nd 0.0000 0.8684 0.1882
Pb1 Pb 0.0000 0.6067 0.5369
Pb2 Pb 0.0000 0.3933 0.0369
Pb3 Pb 0.5000 0.9227 0.4618
Pb4 Pb 0.5000 0.0773 0.9618
# ΔH_f (0 K) = -0.489 eV per atom
# crystal system = orthorhombic
# space group = No. 26
# V = 33.95 A^3/atom

---

4.
# PBE-GGA SrNdPb, relaxed
data_SrNdPb
_cell_length_a 4.2805
_cell_length_b 5.5030
_cell_length_c 5.5030
_cell_angle_alpha 120.00
_cell_angle_beta 90.00
_cell_angle_gamma 90.00
_symmetry_space_group_name_H-M 'P 1'
_symmetry_Int_Tables_number 1
_symmetry_space_group_name_Hall 'P 1'
loop_
_atom_site_label
_atom_site_type_symbol
_atom_site_fract_x
_atom_site_fract_y
_atom_site_fract_z
Pb1 Pb 0.8224 0.6667 0.3333
Sr1 Sr 0.3368 0.3333 0.6667
Nd1 Nd 0.8409 0.0000 0.0000
# ΔH_f (0 K) = -0.236 eV per atom
# crystal system = trigonal
# space group = No. 156
# V = 37.42 A^3/atom

---

5.
# PBE-GGA SrNdPb2, relaxed
data_SrNdPb2
_cell_length_a 4.5439
_cell_length_b 5.3348
_cell_length_c 5.3348
_cell_angle_alpha 90.00
_cell_angle_beta 90.00
_cell_angle_gamma 90.00
_symmetry_space_group_name_H-M 'P 1'
_symmetry_Int_Tables_number 1
_symmetry_space_group_name_Hall 'P 1'
loop_
_atom_site_label
_atom_site_type_symbol
_atom_site_fract_x
_atom_site_fract_y
_atom_site_fract_z
Pb1 Pb 0.0000 0.0000 0.5000
Pb2 Pb 0.0000 0.5000 0.0000
Sr1 Sr 0.5000 0.0000 0.0000
Nd1 Nd 0.5000 0.5000 0.5000
# ΔH_f (0 K) = -0.473 eV per atom
# crystal system = tetragonal
# space group = No. 123
# V = 32.33 A^3/atom

---

6.
# PBE-GGA Sr4NdPb5, relaxed
data_Sr4NdPb5
_cell_length_a 4.1137
_cell_length_b 4.1137
_cell_length_c 20.4821
_cell_angle_alpha 90.00
_cell_angle_beta 90.00
_cell_angle_gamma 90.00
_symmetry_space_group_name_H-M 'P 1'
_symmetry_Int_Tables_number 1
_symmetry_space_group_name_Hall 'P 1'
loop_
_atom_site_label
_atom_site_type_symbol
_atom_site_fract_x
_atom_site_fract_y
_atom_site_fract_z
Sr1 Sr 0.0000 0.0000 0.1895
Sr2 Sr 0.0000 0.0000 0.3958
Sr3 Sr 0.0000 0.0000 0.6042
Sr4 Sr 0.0000 0.0000 0.8105
Nd1 Nd 0.0000 0.0000 0.0000
Pb1 Pb 0.5000 0.5000 0.0844
Pb2 Pb 0.5000 0.5000 0.2904
Pb3 Pb 0.5000 0.5000 0.5000
Pb4 Pb 0.5000 0.5000 0.7096
Pb5 Pb 0.5000 0.5000 0.9156
# ΔH_f (0 K) = -0.501 eV per atom
# crystal system = tetragonal
# space group = No. 123
# V = 34.66 A^3/atom

---

7.
# PBE-GGA SrNdTlPb, relaxed
data_SrNdTlPb
_cell_length_a 3.7727
_cell_length_b 3.7727
_cell_length_c 8.9837
_cell_angle_alpha 90.00
_cell_angle_beta 90.00
_cell_angle_gamma 90.00
_symmetry_space_group_name_H-M 'P 1'
_symmetry_Int_Tables_number 1
_symmetry_space_group_name_Hall 'P 1'
loop_
_atom_site_label
_atom_site_type_symbol
_atom_site_fract_x
_atom_site_fract_y
_atom_site_fract_z
Sr1 Sr 0.0000 0.0000 0.8539
Nd1 Nd 0.0000 0.0000 0.3611
Tl1 Tl 0.5000 0.5000 0.5963
Pb1 Pb 0.5000 0.5000 0.1166
# ΔH_f (0 K) = -0.449 eV per atom
# crystal system = tetragonal
# space group = No. 99
# V = 31.97 A^3/atom
# energy relative to the lowest polymorph listed for this composition = 0 meV per atom

---

8.
# PBE-GGA SrNdTlPb, relaxed
data_SrNdTlPb
_cell_length_a 5.6780
_cell_length_b 5.6780
_cell_length_c 5.6780
_cell_angle_alpha 60.00
_cell_angle_beta 60.00
_cell_angle_gamma 60.00
_symmetry_space_group_name_H-M 'P 1'
_symmetry_Int_Tables_number 1
_symmetry_space_group_name_Hall 'P 1'
loop_
_atom_site_label
_atom_site_type_symbol
_atom_site_fract_x
_atom_site_fract_y
_atom_site_fract_z
Pb1 Pb 0.2500 0.2500 0.2500
Sr1 Sr 0.0000 0.0000 0.0000
Tl1 Tl 0.7500 0.7500 0.7500
Nd1 Nd 0.5000 0.5000 0.5000
# ΔH_f (0 K) = -0.413 eV per atom
# crystal system = cubic
# space group = No. 216
# V = 32.36 A^3/atom
# energy relative to the lowest polymorph listed for this composition = 36 meV per atom

---

9.
# PBE-GGA SrNdZnPb, relaxed
data_SrNdZnPb
_cell_length_a 5.5443
_cell_length_b 5.5443
_cell_length_c 5.5443
_cell_angle_alpha 60.00
_cell_angle_beta 60.00
_cell_angle_gamma 60.00
_symmetry_space_group_name_H-M 'P 1'
_symmetry_Int_Tables_number 1
_symmetry_space_group_name_Hall 'P 1'
loop_
_atom_site_label
_atom_site_type_symbol
_atom_site_fract_x
_atom_site_fract_y
_atom_site_fract_z
Pb1 Pb 0.5000 0.5000 0.5000
Sr1 Sr 0.2500 0.2500 0.2500
Zn1 Zn 0.0000 0.0000 0.0000
Nd1 Nd 0.7500 0.7500 0.7500
# ΔH_f (0 K) = -0.344 eV per atom
# crystal system = cubic
# space group = No. 216
# V = 30.13 A^3/atom

---

10.
# PBE-GGA TbNd2Pb, relaxed
data_TbNd2Pb
_cell_length_a 5.0138
_cell_length_b 4.9294
_cell_length_c 4.9294
_cell_angle_alpha 90.00
_cell_angle_beta 90.00
_cell_angle_gamma 90.00
_symmetry_space_group_name_H-M 'P 1'
_symmetry_Int_Tables_number 1
_symmetry_space_group_name_Hall 'P 1'
loop_
_atom_site_label
_atom_site_type_symbol
_atom_site_fract_x
_atom_site_fract_y
_atom_site_fract_z
Pb1 Pb 0.5000 0.5000 0.5000
Nd1 Nd 0.0000 0.0000 0.5000
Nd2 Nd 0.0000 0.5000 0.0000
Tb1 Tb 0.5000 0.0000 0.0000
# ΔH_f (0 K) = -0.321 eV per atom
# crystal system = tetragonal
# space group = No. 123
# V = 30.46 A^3/atom
# energy relative to the lowest polymorph listed for this composition = 0 meV per atom

---

11.
# PBE-GGA TbNdPb6, relaxed
data_TbNdPb6
_cell_length_a 4.9065
_cell_length_b 4.9065
_cell_length_c 9.8183
_cell_angle_alpha 90.00
_cell_angle_beta 90.00
_cell_angle_gamma 90.00
_symmetry_space_group_name_H-M 'P 1'
_symmetry_Int_Tables_number 1
_symmetry_space_group_name_Hall 'P 1'
loop_
_atom_site_label
_atom_site_type_symbol
_atom_site_fract_x
_atom_site_fract_y
_atom_site_fract_z
Tb1 Tb 0.0000 0.0000 0.5000
Nd1 Nd 0.0000 0.0000 0.0000
Pb1 Pb 0.5000 0.5000 0.0000
Pb2 Pb 0.5000 0.5000 0.5000
Pb3 Pb 0.5000 0.0000 0.2535
Pb4 Pb 0.5000 0.0000 0.7465
Pb5 Pb 0.0000 0.5000 0.2535
Pb6 Pb 0.0000 0.5000 0.7465
# ΔH_f (0 K) = -0.334 eV per atom
# crystal system = tetragonal
# space group = No. 123
# V = 29.55 A^3/atom

---

12.
# PBE-GGA TbNdPb2, relaxed
data_TbNdPb2
_cell_length_a 3.6860
_cell_length_b 8.1445
_cell_length_c 16.9757
_cell_angle_alpha 90.00
_cell_angle_beta 90.00
_cell_angle_gamma 90.00
_symmetry_space_group_name_H-M 'P 1'
_symmetry_Int_Tables_number 1
_symmetry_space_group_name_Hall 'P 1'
loop_
_atom_site_label
_atom_site_type_symbol
_atom_site_fract_x
_atom_site_fract_y
_atom_site_fract_z
Tb1 Tb 0.2500 0.5462 0.1086
Tb2 Tb 0.2500 0.0462 0.3914
Tb3 Tb 0.7500 0.4538 0.8914
Tb4 Tb 0.7500 0.9538 0.6086
Nd1 Nd 0.7500 0.0541 0.1350
Nd2 Nd 0.2500 0.9459 0.8650
Nd3 Nd 0.7500 0.5541 0.3650
Nd4 Nd 0.2500 0.4459 0.6350
Pb1 Pb 0.7500 0.2669 0.4990
Pb2 Pb 0.2500 0.7331 0.5010
Pb3 Pb 0.7500 0.7669 0.0010
Pb4 Pb 0.2500 0.2331 0.9990
Pb5 Pb 0.7500 0.1997 0.7525
Pb6 Pb 0.2500 0.3003 0.2525
Pb7 Pb 0.7500 0.6997 0.7475
Pb8 Pb 0.2500 0.8003 0.2475
# ΔH_f (0 K) = -0.393 eV per atom
# crystal system = orthorhombic
# space group = No. 62
# V = 31.85 A^3/atom